Below is a PBEsol-optimized structure of NbSeBr3, with properties calculated at the meta-GGA SCAN level.

## Properties
Its space group is P2/c (13). The uncorrected formation energy is -0.923 eV/atom.

Structure (extended XYZ):
```
20
Lattice="-4.176 -4.793 -1.606 2.253 -3.768 5.388 -7.334 6.654 7.721" Properties=species:S:1:pos:R:3 pbc="T T T"
Nb -8.677 -1.189 8.497
Nb -3.635 1.585 8.330
Nb -0.581 -0.717 3.005
Nb -5.622 -3.492 3.172
Se -4.728 -3.016 0.728
Se -6.575 -2.734 8.941
Se -4.530 1.110 10.774
Se -2.683 0.827 2.561
Br -7.621 0.159 10.360
Br -4.008 -0.907 8.104
Br -1.637 -2.066 1.142
Br -5.250 -0.999 3.399
Br -7.230 -0.586 6.457
Br -6.016 2.543 8.138
Br -2.028 -1.321 5.045
Br -3.242 -4.450 3.364
Br -9.838 1.149 7.732
Br -5.333 -3.580 5.876
Br 0.581 -3.056 3.770
Br -3.924 1.673 5.626
```